(1)
Be2VRe2Ru5: optimized geometry, GGA-PBE.

The structure in CIF format:
```
data_Be2VRe2Ru5
_chemical_formula_sum 'Be4 V2 Re4 Ru10'
_cell_length_a 9.297
_cell_length_b 9.297
_cell_length_c 2.951
_cell_angle_alpha 90.00
_cell_angle_beta 90.00
_cell_angle_gamma 90.00
_symmetry_space_group_name_H-M 'P 4/m b m'
_symmetry_Int_Tables_number 127
_symmetry_space_group_name_Hall '-P 4 2ab'
loop_
_atom_site_label
_atom_site_fract_x
_atom_site_fract_y
_atom_site_fract_z
_atom_site_occupancy
Be1 0.125 0.375 0.000 1
V1 0.000 0.000 0.000 1
Re1 0.178 0.678 0.000 1
Ru1 0.000 0.500 0.500 1
Ru2 0.065 0.205 0.500 1
```

Output
- DFT formation energy: -0.11 eV per atom
- Electronic total energy: -8.893 eV/atom

(2)
BeVReRu: optimized geometry, GGA-PBE.

The structure in CIF format:
```
data_BeVReRu
_chemical_formula_sum 'Be4 V4 Re4 Ru4'
_cell_length_a 5.881
_cell_length_b 5.881
_cell_length_c 5.881
_cell_angle_alpha 90.00
_cell_angle_beta 90.00
_cell_angle_gamma 90.00
_symmetry_space_group_name_H-M 'F -4 3 m'
_symmetry_Int_Tables_number 216
_symmetry_space_group_name_Hall 'F -4 2 3'
loop_
_atom_site_label
_atom_site_fract_x
_atom_site_fract_y
_atom_site_fract_z
_atom_site_occupancy
Be1 0.000 0.000 0.000 1
V1 0.000 0.000 0.500 1
Re1 0.250 0.250 0.250 1
Ru1 0.250 0.250 0.750 1
```

Output
- DFT formation energy: -0.14 eV per atom
- Electronic total energy: -8.786 eV/atom

(3)
Be2ReRu5W2: optimized geometry, GGA-PBE.

The structure in CIF format:
```
data_Be2ReRu5W2
_chemical_formula_sum 'Be4 Re2 Ru10 W4'
_cell_length_a 9.494
_cell_length_b 9.494
_cell_length_c 2.951
_cell_angle_alpha 90.00
_cell_angle_beta 90.00
_cell_angle_gamma 90.00
_symmetry_space_group_name_H-M 'P 4/m b m'
_symmetry_Int_Tables_number 127
_symmetry_space_group_name_Hall '-P 4 2ab'
loop_
_atom_site_label
_atom_site_fract_x
_atom_site_fract_y
_atom_site_fract_z
_atom_site_occupancy
Be1 0.120 0.380 0.000 1
Re1 0.000 0.000 0.000 1
Ru1 0.000 0.500 0.500 1
Ru2 0.074 0.211 0.500 1
W1 0.176 0.676 0.000 1
```

Output
- DFT formation energy: -0.02 eV per atom
- Electronic total energy: -9.236 eV/atom

In order of appearance, calculated volume = 255.05; 203.36; 266.02 Å³/cell.